[1]
DFT (GGA-PBEsol) results for crystalline AsOs2Ru at its relaxed geometry.

Cell and atoms, written as POSCAR:
```
AsOs2Ru
1.0
2.830 0.000 0.000
0.000 2.830 0.000
0.000 0.000 6.948
As Os Ru
1 2 1
Direct
0.000 0.000 0.000
0.000 0.000 0.504
0.500 0.500 0.252
0.500 0.500 0.777
```

Values from the calculation:
DOS(E_F) (states/eV per cell): 2.98
Size of the total moment (μB/f.u.): 0.0
Symmetry: No. 99
Formation energy from the elements (eV per formula unit): 0.92

[2]
DFT (GGA-PBEsol) results for crystalline AsOs2Ru at its relaxed geometry.

Cell and atoms, written as POSCAR:
```
AsOs2Ru
1.0
3.776 0.000 0.000
0.000 3.776 0.000
0.000 0.000 3.960
As Os Ru
1 2 1
Direct
0.000 0.000 0.000
0.000 0.500 0.500
0.500 0.000 0.500
0.500 0.500 0.000
```

Values from the calculation:
DOS(E_F) (states/eV per cell): 6.57
Size of the total moment (μB/f.u.): 0.0
Symmetry: No. 123
Formation energy from the elements (eV per formula unit): 2.46